No. 1
5
Lattice="-4.432 0.535 -2.098 1.700 -1.851 -4.064 -1.268 -4.516 1.527" Properties=species:S:1:pos:R:3 comment="NaTaGe2As PBE-GGA relaxed" formation_enthalpy_0k_kj_per_mol_fu=611 magmom_total_mub_per_fu=0.00 dft_energy_ev_per_cell=-20.72 vol_a3_per_atom=23.25 n_ef_per_ev_fu=6.91 pbc="T T T"
Ge -0.634 -2.258 0.763
Ge -2.216 0.268 -1.049
Ta -2.000 -2.916 -2.318
As 0.000 0.000 0.000
Na 0.850 -0.926 -2.032

---

No. 2
12
Lattice="-3.377 1.076 -4.638 -3.227 -3.787 1.470 -1.745 7.651 6.712" Properties=species:S:1:pos:R:3 comment="TmSc4Ga PBE-GGA relaxed" formation_enthalpy_0k_kj_per_mol_fu=-67 magmom_total_mub_per_fu=0.00 dft_energy_ev_per_cell=-67.03 vol_a3_per_atom=24.13 n_ef_per_ev_fu=8.03 pbc="T T T"
Sc -4.443 -1.336 0.543
Sc -3.131 1.416 1.361
Sc -4.751 5.783 -0.124
Sc -5.219 3.524 2.183
Sc -3.599 -0.843 3.668
Sc -4.019 0.938 -1.825
Sc -3.907 6.276 3.000
Sc -4.331 4.002 5.368
Tm -1.411 -0.754 -0.462
Tm -6.938 5.694 4.006
Ga -2.486 1.932 4.091
Ga -2.561 4.364 1.037

---

No. 3
12
Lattice="-5.064 2.801 0.768 -3.224 -5.299 -1.930 -0.032 -3.908 10.781" Properties=species:S:1:pos:R:3 comment="RbGeP PBE-GGA relaxed" formation_enthalpy_0k_kj_per_mol_fu=-69 magmom_total_mub_per_fu=0.00 dft_energy_ev_per_cell=-46.84 vol_a3_per_atom=36.22 n_ef_per_ev_fu=0.00 pbc="T T T"
Ge -4.275 -3.481 5.764
Ge -2.647 1.123 1.338
Ge -4.577 -1.255 11.090
Ge -6.173 -1.951 4.734
Rb -3.346 -2.651 1.935
Rb -1.750 -1.956 8.291
Rb -3.575 0.344 5.026
Rb -5.203 -4.260 9.452
P -5.557 -1.818 7.046
P -7.153 -2.513 0.690
P -5.022 0.990 1.966
P -6.650 -3.614 6.391